one.
Compound: RbNi2Hg2
Source: Alexandria
Functional: PBE
Structure: relaxed

Calculated values
crystal system: tetragonal
spin magnetization: 0.0 μB per formula unit
ρ: 9.893 g/cm3
D(E_F): 0.870 states/eV per atom

```
RbNi2Hg2
1.0
8.174 0.000 0.000
0.000 8.174 0.000
0.000 0.000 3.034
Rb Ni Hg
2 4 4
direct
0.000 0.000 0.000
0.500 0.500 0.000
0.110 0.390 0.000
0.390 0.890 0.000
0.610 0.110 0.000
0.890 0.610 0.000
0.174 0.674 0.500
0.326 0.174 0.500
0.674 0.826 0.500
0.826 0.326 0.500
```



two.
Compound: RbNi2Hg2
Source: Alexandria
Functional: PBE
Structure: relaxed

Calculated values
crystal system: tetragonal
spin magnetization: 0.6 μB per formula unit
ρ: 8.683 g/cm3
D(E_F): 0.855 states/eV per atom

```
RbNi2Hg2
1.0
-2.392 2.392 5.048
2.392 -2.392 5.048
2.392 2.392 -5.048
Rb Ni Hg
1 2 2
direct
0.000 0.000 0.000
0.383 0.383 0.000
0.617 0.617 0.000
0.250 0.750 0.500
0.750 0.250 0.500
```



Name the least stable of them. two.



one.
Compound: RbNi3Hg
Source: Alexandria
Functional: PBE
Structure: relaxed

Calculated values
crystal system: cubic
spin magnetization: 0.0 μB per formula unit
ρ: 7.390 g/cm3
D(E_F): 1.335 states/eV per atom

```
RbNi3Hg
1.0
4.700 0.000 0.000
0.000 4.700 0.000
0.000 0.000 4.700
Rb Ni Hg
1 3 1
direct
0.000 0.000 0.000
0.000 0.000 0.500
0.000 0.500 0.000
0.500 0.000 0.000
0.500 0.500 0.500
```



two.
Compound: RbNi3Hg
Source: Alexandria
Functional: PBE
Structure: relaxed

Calculated values
crystal system: cubic
spin magnetization: 0.7 μB per formula unit
ρ: 6.288 g/cm3
D(E_F): 2.359 states/eV per atom

```
RbNi3Hg
1.0
4.960 0.000 0.000
0.000 4.960 0.000
0.000 0.000 4.960
Rb Ni Hg
1 3 1
direct
0.000 0.000 0.000
0.000 0.500 0.500
0.500 0.000 0.500
0.500 0.500 0.000
0.500 0.500 0.500
```



Name the least stable of them. one.



one.
Compound: Re2NiHg2
Source: Alexandria
Functional: PBE
Structure: relaxed

Calculated values
crystal system: tetragonal
spin magnetization: 0.0 μB per formula unit
ρ: 14.322 g/cm3
D(E_F): 1.096 states/eV per atom

```
Re2NiHg2
1.0
-1.879 1.879 6.835
1.879 -1.879 6.835
1.879 1.879 -6.835
Re Ni Hg
2 1 2
direct
0.082 0.082 0.000
0.918 0.918 0.000
0.500 0.500 0.000
0.250 0.750 0.500
0.750 0.250 0.500
```



two.
Compound: Re2NiHg2
Source: Alexandria
Functional: PBE
Structure: relaxed

Calculated values
crystal system: tetragonal
spin magnetization: 0.0 μB per formula unit
ρ: 15.289 g/cm3
D(E_F): 0.993 states/eV per atom

```
Re2NiHg2
1.0
6.324 0.000 0.000
0.000 6.324 0.000
0.000 0.000 4.521
Re Ni Hg
4 2 4
direct
0.131 0.369 0.000
0.369 0.869 0.000
0.631 0.131 0.000
0.869 0.631 0.000
0.000 0.000 0.000
0.500 0.500 0.000
0.183 0.683 0.500
0.317 0.183 0.500
0.683 0.817 0.500
0.817 0.317 0.500
```



Name the least stable of them. one.



one.
Compound: Re2NiHg2
Source: Alexandria
Functional: PBE
Structure: relaxed

Calculated values
crystal system: tetragonal
spin magnetization: 0.0 μB per formula unit
ρ: 14.694 g/cm3
D(E_F): 0.699 states/eV per atom

```
Re2NiHg2
1.0
-1.766 1.766 7.538
1.766 -1.766 7.538
1.766 1.766 -7.538
Re Ni Hg
2 1 2
direct
0.250 0.750 0.500
0.750 0.250 0.500
0.000 0.000 0.000
0.407 0.407 0.000
0.593 0.593 0.000
```



two.
Compound: Re2NiHg2
Source: Alexandria
Functional: PBE
Structure: relaxed

Calculated values
crystal system: tetragonal
spin magnetization: 0.7 μB per formula unit
ρ: 14.521 g/cm3
D(E_F): 1.097 states/eV per atom

```
Re2NiHg2
1.0
8.134 0.000 0.000
0.000 8.134 0.000
0.000 0.000 2.877
Re Ni Hg
4 2 4
direct
0.102 0.398 0.000
0.398 0.898 0.000
0.602 0.102 0.000
0.898 0.602 0.000
0.000 0.000 0.500
0.500 0.500 0.500
0.192 0.692 0.500
0.308 0.192 0.500
0.692 0.808 0.500
0.808 0.308 0.500
```



Name the least stable of them. two.



one.
Compound: NiHg2Rh
Source: Alexandria
Functional: PBE
Structure: relaxed

Calculated values
crystal system: trigonal
spin magnetization: 0.2 μB per formula unit
ρ: 13.623 g/cm3
D(E_F): 1.224 states/eV per atom

```
NiHg2Rh
1.0
1.524 0.880 8.523
-1.524 0.880 8.523
0.000 -1.760 8.523
Ni Hg Rh
1 2 1
direct
0.000 0.000 0.000
0.254 0.254 0.254
0.746 0.746 0.746
0.500 0.500 0.500
```



two.
Compound: NiHg2Rh
Source: Alexandria
Functional: PBE
Structure: relaxed

Calculated values
crystal system: tetragonal
spin magnetization: 0.2 μB per formula unit
ρ: 12.698 g/cm3
D(E_F): 1.248 states/eV per atom

```
NiHg2Rh
1.0
-3.627 3.627 2.798
3.627 -3.627 2.798
3.627 3.627 -2.798
Ni Hg Rh
2 4 2
direct
0.000 0.000 0.000
0.750 0.250 0.500
0.107 0.625 0.982
0.375 0.357 0.482
0.643 0.125 0.018
0.875 0.893 0.518
0.250 0.750 0.500
0.500 0.500 0.000
```



three.
Compound: NiHg2Rh
Source: Alexandria
Functional: PBE
Structure: relaxed

Calculated values
crystal system: tetragonal
spin magnetization: 0.0 μB per formula unit
ρ: 13.911 g/cm3
D(E_F): 1.230 states/eV per atom

```
NiHg2Rh
1.0
-2.016 2.016 4.134
2.016 -2.016 4.134
2.016 2.016 -4.134
Ni Hg Rh
1 2 1
direct
0.000 0.000 0.000
0.500 0.500 0.000
0.750 0.250 0.500
0.250 0.750 0.500
```



four.
Compound: NiHg2Rh
Source: Alexandria
Functional: PBE
Structure: relaxed

Calculated values
crystal system: cubic
spin magnetization: 0.0 μB per formula unit
ρ: 13.972 g/cm3
D(E_F): 0.247 states/eV per atom

```
NiHg2Rh
1.0
0.000 3.222 3.222
3.222 0.000 3.222
3.222 3.222 0.000
Ni Hg Rh
1 2 1
direct
0.000 0.000 0.000
0.250 0.250 0.250
0.750 0.750 0.750
0.500 0.500 0.500
```



Name the least stable of them. two.



one.
Compound: Ni2HgRh2
Source: Alexandria
Functional: PBE
Structure: relaxed

Calculated values
crystal system: tetragonal
spin magnetization: 2.8 μB per formula unit
ρ: 11.288 g/cm3
D(E_F): 0.700 states/eV per atom

```
Ni2HgRh2
1.0
-1.735 1.735 6.398
1.735 -1.735 6.398
1.735 1.735 -6.398
Ni Hg Rh
2 1 2
direct
0.250 0.750 0.500
0.750 0.250 0.500
0.000 0.000 0.000
0.391 0.391 0.000
0.609 0.609 0.000
```



two.
Compound: Ni2HgRh2
Source: Alexandria
Functional: PBE
Structure: relaxed

Calculated values
crystal system: tetragonal
spin magnetization: 2.2 μB per formula unit
ρ: 11.771 g/cm3
D(E_F): 1.778 states/eV per atom

```
Ni2HgRh2
1.0
7.310 0.000 0.000
0.000 7.310 0.000
0.000 0.000 2.765
Ni Hg Rh
4 2 4
direct
0.166 0.334 0.000
0.334 0.834 0.000
0.666 0.166 0.000
0.834 0.666 0.000
0.000 0.000 0.500
0.500 0.500 0.500
0.129 0.629 0.500
0.371 0.129 0.500
0.629 0.871 0.500
0.871 0.371 0.500
```



Name the least stable of them. one.



one.
Compound: NiHgRh
Source: Alexandria
Functional: PBE
Structure: relaxed

Calculated values
crystal system: cubic
spin magnetization: 1.1 μB per formula unit
ρ: 11.558 g/cm3
D(E_F): 1.648 states/eV per atom

```
NiHgRh
1.0
0.000 2.963 2.963
2.963 0.000 2.963
2.963 2.963 0.000
Ni Hg Rh
1 1 1
direct
0.000 0.000 0.000
0.250 0.250 0.250
0.750 0.750 0.750
```



two.
Compound: NiHgRh
Source: Alexandria
Functional: PBE
Structure: relaxed

Calculated values
crystal system: tetragonal
spin magnetization: 1.1 μB per formula unit
ρ: 12.992 g/cm3
D(E_F): 1.297 states/eV per atom

```
NiHgRh
1.0
-1.461 1.461 5.422
1.461 -1.461 5.422
1.461 1.461 -5.422
Ni Hg Rh
1 1 1
direct
0.000 0.000 0.000
0.674 0.674 0.000
0.364 0.364 0.000
```



three.
Compound: NiHgRh
Source: Alexandria
Functional: PBE
Structure: relaxed

Calculated values
crystal system: hexagonal
spin magnetization: 1.0 μB per formula unit
ρ: 12.757 g/cm3
D(E_F): 1.594 states/eV per atom

```
NiHgRh
1.0
4.321 0.000 0.000
-2.161 3.742 0.000
0.000 0.000 2.916
Ni Hg Rh
1 1 1
direct
0.000 0.000 0.000
0.333 0.667 0.500
0.667 0.333 0.000
```



Name the least stable of them. one.



one.
Compound: NiHgRu
Source: Alexandria
Functional: PBE
Structure: relaxed

Calculated values
crystal system: cubic
spin magnetization: 2.1 μB per formula unit
ρ: 11.588 g/cm3
D(E_F): 0.262 states/eV per atom

```
NiHgRu
1.0
0.000 2.956 2.956
2.956 0.000 2.956
2.956 2.956 0.000
Ni Hg Ru
1 1 1
direct
0.000 0.000 0.000
0.250 0.250 0.250
0.750 0.750 0.750
```



two.
Compound: NiHgRu
Source: Alexandria
Functional: PBE
Structure: relaxed

Calculated values
crystal system: trigonal
spin magnetization: 0.0 μB per formula unit
ρ: 12.951 g/cm3
D(E_F): 0.977 states/eV per atom

```
NiHgRu
1.0
2.837 0.000 0.000
-1.418 2.457 0.000
0.000 0.000 6.629
Ni Hg Ru
1 1 1
direct
0.000 0.000 0.000
0.667 0.333 0.658
0.333 0.667 0.285
```



Name the least stable of them. one.



one.
Compound: NiHg2Ru
Source: Alexandria
Functional: PBE
Structure: relaxed

Calculated values
crystal system: cubic
spin magnetization: 1.5 μB per formula unit
ρ: 13.690 g/cm3
D(E_F): 1.674 states/eV per atom

```
NiHg2Ru
1.0
0.000 3.240 3.240
3.240 0.000 3.240
3.240 3.240 0.000
Ni Hg Ru
1 2 1
direct
0.000 0.000 0.000
0.500 0.500 0.500
0.750 0.750 0.750
0.250 0.250 0.250
```



two.
Compound: NiHg2Ru
Source: Alexandria
Functional: PBE
Structure: relaxed

Calculated values
crystal system: cubic
spin magnetization: 0.8 μB per formula unit
ρ: 13.880 g/cm3
D(E_F): 1.306 states/eV per atom

```
NiHg2Ru
1.0
0.000 3.225 3.225
3.225 0.000 3.225
3.225 3.225 0.000
Ni Hg Ru
1 2 1
direct
0.000 0.000 0.000
0.250 0.250 0.250
0.750 0.750 0.750
0.500 0.500 0.500
```



Name the least stable of them. one.



one.
Compound: NiHg2Ru
Source: Alexandria
Functional: PBE
Structure: relaxed

Calculated values
crystal system: monoclinic
spin magnetization: 0.4 μB per formula unit
ρ: 13.688 g/cm3
D(E_F): 0.835 states/eV per atom

```
NiHg2Ru
1.0
5.210 -1.437 0.000
5.210 1.437 0.000
-1.753 0.000 4.545
Ni Hg Ru
1 2 1
direct
0.000 0.000 0.000
0.243 0.243 0.855
0.458 0.458 0.477
0.698 0.698 0.325
```



two.
Compound: NiHg2Ru
Source: Alexandria
Functional: PBE
Structure: relaxed

Calculated values
crystal system: tetragonal
spin magnetization: 2.2 μB per formula unit
ρ: 12.307 g/cm3
D(E_F): 1.514 states/eV per atom

```
NiHg2Ru
1.0
-1.987 1.987 9.584
1.987 -1.987 9.584
1.987 1.987 -9.584
Ni Hg Ru
2 4 2
direct
0.000 0.000 0.000
0.750 0.250 0.500
0.121 0.625 0.996
0.375 0.371 0.496
0.629 0.125 0.004
0.875 0.879 0.504
0.250 0.750 0.500
0.500 0.500 0.000
```



Name the least stable of them. two.



one.
Compound: NiHg2Ru
Source: Alexandria
Functional: PBE
Structure: relaxed

Calculated values
crystal system: tetragonal
spin magnetization: 0.8 μB per formula unit
ρ: 13.501 g/cm3
D(E_F): 1.170 states/eV per atom

```
NiHg2Ru
1.0
2.962 0.000 0.000
0.000 2.962 0.000
0.000 0.000 7.865
Ni Hg Ru
1 2 1
direct
0.000 0.000 0.000
0.000 0.000 0.439
0.500 0.500 0.766
0.500 0.500 0.177
```



two.
Compound: NiHg2Ru
Source: Alexandria
Functional: PBE
Structure: relaxed

Calculated values
crystal system: monoclinic
spin magnetization: 1.1 μB per formula unit
ρ: 13.654 g/cm3
D(E_F): 1.060 states/eV per atom

```
NiHg2Ru
1.0
4.520 -1.486 0.000
4.520 1.486 0.000
-1.054 0.000 5.080
Ni Hg Ru
1 2 1
direct
0.000 0.000 0.000
0.255 0.255 0.756
0.745 0.745 0.244
0.500 0.500 0.500
```



three.
Compound: NiHg2Ru
Source: Alexandria
Functional: PBE
Structure: relaxed

Calculated values
crystal system: trigonal
spin magnetization: 0.0 μB per formula unit
ρ: 13.384 g/cm3
D(E_F): 0.978 states/eV per atom

```
NiHg2Ru
1.0
1.456 0.840 9.482
-1.456 0.840 9.482
0.000 -1.681 9.482
Ni Hg Ru
1 2 1
direct
0.000 0.000 0.000
0.254 0.254 0.254
0.484 0.484 0.484
0.731 0.731 0.731
```



Name the least stable of them. two.



one.
Compound: NiHg2Ru
Source: Alexandria
Functional: PBE
Structure: relaxed

Calculated values
crystal system: tetragonal
spin magnetization: 1.3 μB per formula unit
ρ: 13.958 g/cm3
D(E_F): 0.911 states/eV per atom

```
NiHg2Ru
1.0
3.011 0.000 0.000
0.000 3.011 0.000
0.000 0.000 7.360
Ni Hg Ru
1 2 1
direct
0.000 0.000 0.000
0.500 0.500 0.235
0.500 0.500 0.765
0.000 0.000 0.500
```



two.
Compound: NiHg2Ru
Source: Alexandria
Functional: PBE
Structure: relaxed

Calculated values
crystal system: trigonal
spin magnetization: 0.9 μB per formula unit
ρ: 13.769 g/cm3
D(E_F): 0.952 states/eV per atom

```
NiHg2Ru
1.0
1.488 0.859 8.825
-1.488 0.859 8.825
0.000 -1.718 8.825
Ni Hg Ru
1 2 1
direct
0.000 0.000 0.000
0.254 0.254 0.254
0.746 0.746 0.746
0.500 0.500 0.500
```



Name the least stable of them. two.